First-principles (GGA-PBE) data for crystalline RbTlPbO3 at its relaxed geometry, as listed in Alexandria.

Results
raw formation energy = -5.909 eV/f.u.
calculated density = 6.8 g/cm3

Unit cell a=7.3913 b=3.4613 c=10.5037 alpha=90.00 beta=95.87 gamma=90.00
Space group P2_1/m (No. 11)
Asymmetric unit:
Rb 0.1411 0.2500 0.1973 x2
Tl 0.3694 0.7500 0.8868 x2
Pb 0.1975 0.2500 0.5675 x2
O 0.1096 0.7500 0.4281 x2
O 0.1831 0.2500 0.8237 x2
O 0.4157 0.7500 0.1053 x2

First-principles (GGA-PBE) data for crystalline TaTl2 at its relaxed geometry, as listed in Alexandria.

Results
calculated formation energy = 0.482 eV/atom
calculated density = 12.7 g/cm3

Unit cell a=3.0647 b=21.0422 c=4.7824 alpha=90.00 beta=90.00 gamma=90.00
Space group Cmcm (No. 63)
Asymmetric unit:
Ta 0.0000 0.0415 0.2500 x4
Tl 0.0000 0.3057 0.7500 x4
Tl 0.0000 0.4126 0.2500 x4

First-principles (GGA-PBE) data for crystalline RbMgSCl2 at its relaxed geometry, as listed in Alexandria.

Results
raw formation energy = -0.046 eV/f.u.
calculated density = 2.0 g/cm3

Unit cell a=5.7509 b=5.7509 c=5.4003 alpha=90.00 beta=90.00 gamma=90.00
Space group P4/mmm (No. 123)
Asymmetric unit:
Rb 0.0000 0.0000 0.0000 x1
Mg 0.5000 0.5000 0.5000 x1
S 0.0000 0.0000 0.5000 x1
Cl 0.0000 0.5000 0.0000 x2

First-principles (GGA-PBE) data for crystalline Nd4GaTeC at its relaxed geometry, as listed in Alexandria.

Results
raw formation energy = -3.837 eV/f.u.
calculated density = 6.6 g/cm3

Unit cell a=7.0328 b=15.9400 c=7.0618 alpha=90.00 beta=90.00 gamma=90.00
Space group Cmcm (No. 63)
Asymmetric unit:
Nd 0.0000 0.0807 0.2500 x4
Nd 0.0000 0.4082 0.2500 x4
Nd 0.2500 0.2500 0.0000 x8
Ga 0.0000 0.1180 0.7500 x4
Te 0.0000 0.3905 0.7500 x4
C 0.0000 0.2416 0.2500 x4

First-principles (GGA-PBE) data for crystalline CsZnF3 at its relaxed geometry, as listed in Alexandria.

Results
raw formation energy = -11.629 eV/f.u.
calculated density = 2.9 g/cm3

Unit cell a=3.2987 b=7.7409 c=11.3637 alpha=90.00 beta=90.00 gamma=90.00
Space group Amm2 (No. 38)
Asymmetric unit:
Cs 0.0000 0.0000 0.0000 x2
Zn 0.5000 0.0000 0.3617 x2
F 0.0000 0.1616 0.3998 x4
F 0.5000 0.0000 0.1932 x2

First-principles (GGA-PBE) data for crystalline PuMg4Sc5 at its relaxed geometry, as listed in Alexandria.

Results
calculated formation energy = 0.008 eV/atom
calculated density = 4.0 g/cm3

Unit cell a=3.2478 b=3.2478 c=22.4566 alpha=90.00 beta=90.00 gamma=90.00
Space group P4/mmm (No. 123)
Asymmetric unit:
Pu 0.0000 0.0000 0.0000 x1
Mg 0.0000 0.0000 0.2033 x2
Mg 0.0000 0.0000 0.4011 x2
Sc 0.5000 0.5000 0.1028 x2
Sc 0.5000 0.5000 0.3021 x2
Sc 0.5000 0.5000 0.5000 x1

The highest calculated density belongs to which entry? TaTl2

What is the calculated density in the second record? 12.7 g/cm3